[1]
VASP calculation (PBE) on a relaxed structure of Tl2PRhS.

Computed properties:
DOS at the Fermi energy = 3.68 states/eV/f.u.
E_tot = -3.9548 eV per atom
energy relative to the elements, uncorrected = 0.369 eV/atom
crystal system = tetragonal

```
5
Lattice="5.409 0.000 0.000 0.000 4.354 0.000 0.000 0.000 5.409" Properties=species:S:1:pos:R:3 pbc="T T T"
P 0.000 0.000 0.000
Tl 0.000 0.000 2.705
Tl 2.705 0.000 0.000
Rh 0.000 2.177 0.000
S 2.705 2.177 2.705
```

***

[2]
VASP calculation (PBE) on a relaxed structure of TlPRhS2.

Computed properties:
offset from the most stable computed form = 1.314 eV per atom
DOS at the Fermi energy = 8.49 states/eV/f.u.
E_tot = -3.1117 eV per atom
energy relative to the elements, uncorrected = 1.565 eV/atom
crystal system = tetragonal

```
5
Lattice="5.052 0.000 0.000 0.000 5.052 0.000 0.000 0.000 5.055" Properties=species:S:1:pos:R:3 pbc="T T T"
P 0.000 0.000 2.528
Tl 0.000 0.000 0.000
Rh 2.526 2.526 2.528
S 0.000 2.526 0.000
S 2.526 0.000 0.000
```

***

[3]
VASP calculation (PBE) on a relaxed structure of VPRhS2.

Computed properties:
offset from the most stable computed form = 0.000 eV per atom
DOS at the Fermi energy = 5.77 states/eV/f.u.
E_tot = -5.5895 eV per atom
energy relative to the elements, uncorrected = 0.437 eV/atom
crystal system = tetragonal

```
5
Lattice="4.426 0.000 0.000 0.000 4.426 0.000 0.000 0.000 4.570" Properties=species:S:1:pos:R:3 pbc="T T T"
P 0.000 0.000 2.285
S 0.000 2.213 0.000
S 2.213 0.000 0.000
Rh 2.213 2.213 2.285
V 0.000 0.000 0.000
```

***

[4]
VASP calculation (PBE) on a relaxed structure of VPRhS2.

Computed properties:
offset from the most stable computed form = 0.131 eV per atom
DOS at the Fermi energy = 4.70 states/eV/f.u.
E_tot = -5.4587 eV per atom
energy relative to the elements, uncorrected = 0.568 eV/atom
crystal system = tetragonal

```
5
Lattice="-3.645 3.050 -0.700 -1.461 -0.709 4.521 2.481 3.266 1.314" Properties=species:S:1:pos:R:3 pbc="T T T"
P 1.241 1.633 0.657
S -0.731 -0.355 2.261
S -1.822 1.525 -0.350
Rh 0.000 0.000 0.000
V -1.313 2.804 2.568
```

***

[5]
VASP calculation (PBE) on a relaxed structure of YPRhS2.

Computed properties:
offset from the most stable computed form = 1.076 eV per atom
DOS at the Fermi energy = 7.85 states/eV/f.u.
E_tot = -4.8757 eV per atom
energy relative to the elements, uncorrected = 0.620 eV/atom
crystal system = tetragonal

```
5
Lattice="5.126 0.000 0.000 0.000 5.126 0.000 0.000 0.000 5.293" Properties=species:S:1:pos:R:3 pbc="T T T"
Y 0.000 0.000 0.000
P 0.000 0.000 2.647
S 0.000 2.563 0.000
S 2.563 0.000 0.000
Rh 2.563 2.563 2.647
```

***

[6]
VASP calculation (PBE) on a relaxed structure of YP2RhS.

Computed properties:
offset from the most stable computed form = 1.213 eV per atom
DOS at the Fermi energy = 7.02 states/eV/f.u.
E_tot = -4.8154 eV per atom
energy relative to the elements, uncorrected = 0.937 eV/atom
crystal system = tetragonal

```
5
Lattice="5.215 0.000 0.000 0.000 5.215 0.000 0.000 0.000 5.076" Properties=species:S:1:pos:R:3 pbc="T T T"
Y 0.000 0.000 0.000
P 0.000 2.608 0.000
P 2.608 0.000 0.000
S 0.000 0.000 2.538
Rh 2.608 2.608 2.538
```

***

[7]
VASP calculation (PBE) on a relaxed structure of YP2RhS.

Computed properties:
offset from the most stable computed form = 0.000 eV per atom
DOS at the Fermi energy = 3.66 states/eV/f.u.
E_tot = -6.0285 eV per atom
energy relative to the elements, uncorrected = -0.276 eV/atom
crystal system = tetragonal

```
5
Lattice="4.490 0.000 0.000 0.000 4.490 0.000 0.000 0.000 5.041" Properties=species:S:1:pos:R:3 pbc="T T T"
Y 2.245 2.245 2.520
P 0.000 2.245 0.000
P 2.245 0.000 0.000
S 0.000 0.000 2.520
Rh 0.000 0.000 0.000
```

***

[8]
VASP calculation (PBE) on a relaxed structure of YPRhS2.

Computed properties:
offset from the most stable computed form = 0.000 eV per atom
DOS at the Fermi energy = 3.07 states/eV/f.u.
E_tot = -5.9519 eV per atom
energy relative to the elements, uncorrected = -0.456 eV/atom
crystal system = tetragonal

```
5
Lattice="-3.455 -3.205 1.079 3.190 -2.576 2.562 -1.013 2.292 3.566" Properties=species:S:1:pos:R:3 pbc="T T T"
Y -0.639 -1.745 3.603
P -0.506 1.146 1.783
S 1.595 -1.288 1.281
S -1.728 -1.603 0.539
Rh 0.000 0.000 0.000
```

***

[9]
VASP calculation (PBE) on a relaxed structure of ZrP2RhS.

Computed properties:
offset from the most stable computed form = 0.000 eV per atom
DOS at the Fermi energy = 4.31 states/eV/f.u.
E_tot = -5.9924 eV per atom
energy relative to the elements, uncorrected = 0.177 eV/atom
crystal system = tetragonal

```
5
Lattice="-3.676 1.904 1.742 -2.277 -3.819 -0.631 1.287 -1.484 4.337" Properties=species:S:1:pos:R:3 pbc="T T T"
P -1.139 -1.909 -0.316
P -1.838 0.952 0.871
S 0.643 -0.742 2.168
Rh 0.000 0.000 0.000
Zr -2.333 -1.700 2.724
```

***

[10]
VASP calculation (PBE) on a relaxed structure of ZrP2RhS.

Computed properties:
offset from the most stable computed form = 0.494 eV per atom
DOS at the Fermi energy = 5.56 states/eV/f.u.
E_tot = -5.4979 eV per atom
energy relative to the elements, uncorrected = 0.671 eV/atom
crystal system = tetragonal

```
5
Lattice="4.991 0.000 0.000 0.000 4.991 0.000 0.000 0.000 4.846" Properties=species:S:1:pos:R:3 pbc="T T T"
P 0.000 2.495 0.000
P 2.495 0.000 0.000
S 0.000 0.000 2.423
Rh 2.495 2.495 2.423
Zr 0.000 0.000 0.000
```

***

[11]
VASP calculation (PBE) on a relaxed structure of SbP3Rh.

Computed properties:
offset from the most stable computed form = 0.000 eV per atom
DOS at the Fermi energy = 5.82 states/eV/f.u.
E_tot = -4.9734 eV per atom
energy relative to the elements, uncorrected = 0.567 eV/atom
crystal system = cubic

```
5
Lattice="4.641 0.000 0.000 0.000 4.641 0.000 0.000 0.000 4.641" Properties=species:S:1:pos:R:3 pbc="T T T"
Sb 2.320 2.320 2.320
Rh 0.000 0.000 0.000
P 0.000 2.320 0.000
P 0.000 0.000 2.320
P 2.320 0.000 0.000
```

***

[12]
VASP calculation (PBE) on a relaxed structure of SbPRh.

Computed properties:
offset from the most stable computed form = 0.000 eV per atom
E_tot = -6.1907 eV per atom
energy relative to the elements, uncorrected = -0.563 eV/atom
crystal system = monoclinic

```
12
Lattice="6.235 0.000 0.000 0.000 6.256 -0.427 0.000 -2.112 5.928" Properties=species:S:1:pos:R:3 pbc="T T T"
Sb 2.342 3.916 3.436
Sb 3.892 0.228 2.065
Sb 0.775 4.972 0.472
Sb 5.460 -0.828 5.029
P 2.261 1.830 0.873
P 3.974 2.314 4.628
P 5.378 3.370 1.664
P 0.857 0.774 3.837
Rh 6.134 2.930 3.866
Rh 3.219 3.986 0.902
Rh 0.101 1.214 1.635
Rh 3.016 0.158 4.599
```

***

[13]
VASP calculation (PBE) on a relaxed structure of SbPRh.

Computed properties:
offset from the most stable computed form = 0.353 eV per atom
DOS at the Fermi energy = 1.08 states/eV/f.u.
E_tot = -5.8376 eV per atom
energy relative to the elements, uncorrected = -0.210 eV/atom
crystal system = cubic

```
3
Lattice="0.000 3.065 3.065 3.065 0.000 3.065 3.065 3.065 0.000" Properties=species:S:1:pos:R:3 pbc="T T T"
Sb 0.000 0.000 0.000
P 3.065 3.065 3.065
Rh 4.598 4.598 4.598
```

***

[14]
VASP calculation (PBE) on a relaxed structure of SbPRh.

Computed properties:
offset from the most stable computed form = 0.156 eV per atom
DOS at the Fermi energy = 1.42 states/eV/f.u.
E_tot = -6.0349 eV per atom
energy relative to the elements, uncorrected = -0.407 eV/atom
crystal system = cubic

```
12
Lattice="-0.277 -3.195 -5.161 -4.308 -3.536 2.420 -4.276 3.769 -2.104" Properties=species:S:1:pos:R:3 pbc="T T T"
Sb -3.307 -1.105 -1.808
Sb -6.469 0.669 -0.975
Sb -3.468 -0.875 -5.518
Sb -4.477 -4.612 -1.389
P -5.473 -1.829 -2.992
P -2.394 -3.728 -3.876
P -5.469 -2.055 0.724
P -4.386 1.688 -3.545
Rh -0.273 -0.091 -0.149
Rh -6.575 -2.925 -1.193
Rh -6.312 0.298 -3.643
Rh -4.561 -3.205 -4.704
```

***

[15]
VASP calculation (PBE) on a relaxed structure of Sb2PRh2.

Computed properties:
offset from the most stable computed form = 0.023 eV per atom
DOS at the Fermi energy = 4.63 states/eV/f.u.
E_tot = -5.4772 eV per atom
energy relative to the elements, uncorrected = 0.194 eV/atom
crystal system = tetragonal

```
5
Lattice="-0.541 4.039 0.383 -4.040 -0.572 0.326 -1.731 1.236 6.399" Properties=species:S:1:pos:R:3 pbc="T T T"
Sb -2.160 1.617 1.767
Sb -4.152 3.086 5.341
Rh -2.281 3.504 3.568
Rh -4.031 1.199 3.540
P 0.000 0.000 0.000
```

***

[16]
VASP calculation (PBE) on a relaxed structure of SbPRh4.

Computed properties:
DOS at the Fermi energy = 9.68 states/eV/f.u.
E_tot = -6.1296 eV per atom
energy relative to the elements, uncorrected = 0.360 eV/atom
crystal system = cubic

```
6
Lattice="-3.009 -2.508 3.416 -1.380 2.319 4.442 -4.921 1.507 0.726" Properties=species:S:1:pos:R:3 pbc="T T T"
Sb -6.982 0.988 6.437
P 0.000 0.000 0.000
Rh -4.997 -0.766 4.929
Rh -5.957 1.250 3.579
Rh -4.179 1.658 5.444
Rh -3.486 0.493 3.214
```

***

[17]
VASP calculation (PBE) on a relaxed structure of Sb2PRh2.

Computed properties:
offset from the most stable computed form = 0.000 eV per atom
DOS at the Fermi energy = 2.17 states/eV/f.u.
E_tot = -5.5004 eV per atom
energy relative to the elements, uncorrected = 0.171 eV/atom
crystal system = tetragonal

```
10
Lattice="7.840 0.000 0.000 0.000 7.840 0.000 0.000 0.000 3.054" Properties=species:S:1:pos:R:3 pbc="T T T"
Sb 2.626 6.546 0.000
Sb 6.546 5.214 0.000
Sb 5.214 1.294 0.000
Sb 1.294 2.626 0.000
Rh 1.006 4.926 1.527
Rh 4.926 6.835 1.527
Rh 6.835 2.914 1.527
Rh 2.914 1.006 1.527
P 0.000 0.000 0.000
P 3.920 3.920 0.000
```

***

[18]
VASP calculation (PBE) on a relaxed structure of SbPRh3.

Computed properties:
offset from the most stable computed form = 1.265 eV per atom
DOS at the Fermi energy = 5.04 states/eV/f.u.
E_tot = -5.1137 eV per atom
energy relative to the elements, uncorrected = 1.204 eV/atom
crystal system = cubic

```
5
Lattice="-4.316 -0.828 -1.952 2.066 -2.643 -3.446 -0.479 -3.931 2.728" Properties=species:S:1:pos:R:3 pbc="T T T"
Sb 0.000 0.000 0.000
Rh 1.033 -1.322 -1.723
Rh -0.240 -1.966 1.364
Rh -2.158 -0.414 -0.976
P -1.365 -3.701 -1.335
```

***

[19]
VASP calculation (PBE) on a relaxed structure of Sb3PRh.

Computed properties:
offset from the most stable computed form = 0.000 eV per atom
DOS at the Fermi energy = 4.35 states/eV/f.u.
E_tot = -4.4406 eV per atom
energy relative to the elements, uncorrected = 0.585 eV/atom
crystal system = cubic

```
5
Lattice="5.109 0.000 0.000 0.000 5.109 0.000 0.000 0.000 5.109" Properties=species:S:1:pos:R:3 pbc="T T T"
Sb 0.000 2.555 0.000
Sb 0.000 0.000 2.555
Sb 2.555 0.000 0.000
Rh 0.000 0.000 0.000
P 2.555 2.555 2.555
```

***

[20]
VASP calculation (PBE) on a relaxed structure of SbPRh.

Computed properties:
offset from the most stable computed form = 0.328 eV per atom
DOS at the Fermi energy = 1.03 states/eV/f.u.
E_tot = -5.8630 eV per atom
energy relative to the elements, uncorrected = -0.235 eV/atom
crystal system = trigonal

```
3
Lattice="1.736 -3.007 0.000 1.736 3.007 0.000 0.000 0.000 5.376" Properties=species:S:1:pos:R:3 pbc="T T T"
Sb 1.736 1.002 3.492
P 0.000 0.000 0.348
Rh 1.736 -1.002 1.536
```

***

Number 1: total moment 0.0 μB per formula unit. Number 2: total moment 1.8 μB per formula unit. Number 3: total moment 0.0 μB per formula unit. Number 4: total moment 2.8 μB per formula unit. Number 5: total moment 1.8 μB per formula unit. Number 6: total moment 1.2 μB per formula unit. Number 7: total moment 0.0 μB per formula unit. Number 8: total moment 0.0 μB per formula unit. Number 9: total moment 0.0 μB per formula unit. Number 10: total moment 1.2 μB per formula unit. Number 11: total moment 0.0 μB per formula unit. Number 12: total moment 0.0 μB per formula unit. Number 13: total moment 0.0 μB per formula unit. Number 14: total moment 0.0 μB per formula unit. Number 15: total moment 0.0 μB per formula unit. Number 16: total moment 0.0 μB per formula unit. Number 17: total moment 0.0 μB per formula unit. Number 18: total moment 0.9 μB per formula unit. Number 19: total moment 0.0 μB per formula unit. Number 20: total moment 0.0 μB per formula unit.